Entry 1:
A plane-wave DFT calculation with PBE was carried out for SrLi6Au4 after structural relaxation.

For the density of states at the Fermi level, the calculation gives 5.532 states/eV per cell. As for the formation energy: -0.497 eV/atom.

a b c (Å): 7.590 7.590 4.220
angles (deg): 90.00 90.00 120.00
Fractional positions:
Sr: 0.000 0.000 0.000
Li: 0.207 0.414 0.500
Li: 0.207 0.793 0.500
Li: 0.533 0.066 0.000
Li: 0.533 0.467 0.000
Li: 0.586 0.793 0.500
Li: 0.934 0.467 0.000
Au: 0.333 0.667 0.000
Au: 0.403 0.201 0.500
Au: 0.799 0.201 0.500
Au: 0.799 0.597 0.500



Entry 2:
A plane-wave DFT calculation with PBE was carried out for Tb4FeAg after structural relaxation.

For the density of states at the Fermi level, the calculation gives 12.359 states/eV per cell. As for the formation energy: -0.102 eV/atom.

a b c (Å): 7.508 7.508 6.116
angles (deg): 98.72 98.72 111.14
Fractional positions:
Tb: 0.062 0.732 0.963
Tb: 0.209 0.371 0.593
Tb: 0.268 0.938 0.537
Tb: 0.371 0.209 0.093
Tb: 0.629 0.791 0.907
Tb: 0.732 0.062 0.463
Tb: 0.791 0.629 0.407
Tb: 0.938 0.268 0.037
Fe: 0.002 0.998 0.750
Fe: 0.998 0.002 0.250
Ag: 0.371 0.629 0.250
Ag: 0.629 0.371 0.750



Entry 3:
A plane-wave DFT calculation with PBE was carried out for Cd3GaSi after structural relaxation.

For the density of states at the Fermi level, the calculation gives 3.298 states/eV per cell. Its raw formation energy is 65.6 kJ per mole of atoms. As for the energy above the most stable polymorph in this dataset: 231 meV per atom.

a b c (Å): 5.115 5.115 5.115
angles (deg): 90.00 90.00 90.00
Fractional positions:
Cd: 0.000 0.000 0.500
Cd: 0.000 0.500 0.000
Cd: 0.500 0.000 0.000
Ga: 0.000 0.000 0.000
Si: 0.500 0.500 0.500



Entry 4:
A plane-wave DFT calculation with PBE was carried out for Sr2Cd6InAg after structural relaxation.

For the density of states at the Fermi level, the calculation gives 9.468 states/eV per cell. As for the formation energy: -0.144 eV/atom.

a b c (Å): 13.326 13.326 13.326
angles (deg): 31.51 31.51 31.51
Fractional positions:
Sr: 0.106 0.106 0.106
Sr: 0.279 0.279 0.279
Sr: 0.721 0.721 0.721
Sr: 0.894 0.894 0.894
Cd: 0.070 0.671 0.671
Cd: 0.225 0.225 0.637
Cd: 0.225 0.637 0.225
Cd: 0.329 0.329 0.930
Cd: 0.329 0.930 0.329
Cd: 0.363 0.775 0.775
Cd: 0.637 0.225 0.225
Cd: 0.671 0.070 0.671
Cd: 0.671 0.671 0.070
Cd: 0.775 0.363 0.775
Cd: 0.775 0.775 0.363
Cd: 0.930 0.329 0.329
In: 0.425 0.425 0.425
In: 0.575 0.575 0.575
Ag: 0.000 0.000 0.000
Ag: 0.500 0.500 0.500



Entry 5:
A plane-wave DFT calculation with PBE was carried out for Ca2NiB after structural relaxation.

For the density of states at the Fermi level, the calculation gives 6.815 states/eV per cell. As for the formation energy: 0.757 eV/atom.

a b c (Å): 6.059 6.059 6.059
angles (deg): 105.56 105.56 117.61
Fractional positions:
Ca: 0.109 0.625 0.984
Ca: 0.375 0.359 0.484
Ca: 0.641 0.125 0.016
Ca: 0.875 0.891 0.516
Ni: 0.250 0.750 0.500
Ni: 0.500 0.500 0.000
B: 0.000 0.000 0.000
B: 0.750 0.250 0.500



Entry 6:
A plane-wave DFT calculation with PBE was carried out for K3Ga2Bi2 after structural relaxation.

For the density of states at the Fermi level, the calculation gives 2.655 states/eV per cell. As for the formation energy: -0.313 eV/atom.

a b c (Å): 10.968 10.968 10.968
angles (deg): 155.97 150.51 38.39
Fractional positions:
K: 0.000 0.000 0.000
K: 0.182 0.682 0.500
K: 0.818 0.318 0.500
Ga: 0.441 0.441 0.000
Ga: 0.559 0.559 0.000
Bi: 0.365 0.865 0.500
Bi: 0.635 0.135 0.500



Please write out number 4 again, unchanged.
A plane-wave DFT calculation with PBE was carried out for Sr2Cd6InAg after structural relaxation.

For the density of states at the Fermi level, the calculation gives 9.468 states/eV per cell. As for the formation energy: -0.144 eV/atom.

a b c (Å): 13.326 13.326 13.326
angles (deg): 31.51 31.51 31.51
Fractional positions:
Sr: 0.106 0.106 0.106
Sr: 0.279 0.279 0.279
Sr: 0.721 0.721 0.721
Sr: 0.894 0.894 0.894
Cd: 0.070 0.671 0.671
Cd: 0.225 0.225 0.637
Cd: 0.225 0.637 0.225
Cd: 0.329 0.329 0.930
Cd: 0.329 0.930 0.329
Cd: 0.363 0.775 0.775
Cd: 0.637 0.225 0.225
Cd: 0.671 0.070 0.671
Cd: 0.671 0.671 0.070
Cd: 0.775 0.363 0.775
Cd: 0.775 0.775 0.363
Cd: 0.930 0.329 0.329
In: 0.425 0.425 0.425
In: 0.575 0.575 0.575
Ag: 0.000 0.000 0.000
Ag: 0.500 0.500 0.500



> Which formula does entry 6 have?

K3Ga2Bi2